Cs2SmBS4 | PBE | relaxed

Cell lengths 5.9602, 7.9179, 13.2430 Å; angles 85.14, 77.00, 67.89 degrees
Positions (direct):
Sm 0.7500 0.5000 0.5000
Sm 0.0000 0.0000 0.0000
S 0.2076 0.3338 0.4066
S 0.2914 0.1662 0.9066
S 0.3858 0.6662 0.4066
S 0.5424 0.1662 0.0934
S 0.4586 0.3338 0.5934
S 0.9480 0.6662 0.5934
S 0.3642 0.8338 0.0934
S 0.8020 0.8338 0.9066
B 0.2500 0.5000 0.5000
B 0.5000 0.0000 0.0000
Cs 0.5724 0.5000 0.8551
Cs 0.9276 0.5000 0.1449
Cs 0.1776 0.0000 0.6449
Cs 0.8224 0.0000 0.3551

Computed properties:
* density of states at the Fermi level: 0.000 states/eV per atom
* total DFT energy (no corrections): -4.8240 eV/atom
* formation energy from raw total energies: -8.98 eV/f.u.